First-principles (GGA-PBE) data for an optimized crystal structure of Na6Sn2B4SO16, as listed in Alexandria.

```
Na6Sn2B4SO16
1.0
10.062 0.000 0.000
5.031 8.714 0.000
5.031 2.905 8.215
O S B Na Sn
32 2 8 12 4
Cartesian
14.220 7.636 3.896
15.965 6.219 5.900
5.031 2.905 3.552
11.432 8.017 3.557
8.835 4.526 2.132
9.189 8.304 4.369
7.465 5.892 3.557
14.595 10.008 3.896
13.368 9.135 8.137
12.659 5.317 4.369
10.934 6.887 6.373
11.289 3.519 3.557
10.559 4.515 6.373
9.564 7.513 2.132
6.254 2.198 1.554
13.866 11.004 6.713
13.723 6.506 6.713
17.690 8.631 6.713
16.463 8.497 3.896
12.496 9.206 5.900
16.817 10.717 5.900
15.590 7.010 8.137
5.031 2.905 6.717
3.807 2.198 1.554
16.320 9.997 8.137
5.031 4.317 1.554
1.223 0.706 0.499
5.031 7.301 0.499
11.786 5.388 2.132
8.692 6.026 6.373
8.337 3.806 4.369
8.838 0.706 0.499
5.031 2.905 2.054
0.000 0.000 0.000
10.062 7.912 3.364
13.272 9.765 6.905
10.062 5.809 6.338
11.883 4.758 3.364
15.093 6.611 6.905
15.093 8.714 3.931
8.241 4.758 3.364
16.914 9.765 6.905
7.186 1.660 3.814
7.186 4.149 0.294
2.876 4.149 0.294
12.938 4.149 6.456
7.186 4.149 6.456
10.062 2.489 1.760
2.876 1.660 3.814
7.186 7.470 1.760
5.031 0.416 0.294
5.031 5.393 3.814
12.938 7.470 1.760
10.062 9.130 6.456
7.546 7.261 5.135
10.062 5.809 1.027
12.577 7.261 5.135
10.062 2.905 5.135
```

## Properties
Crystal system: cubic


First-principles (GGA-PBE) data for an optimized crystal structure of ZrVS2, as listed in Alexandria.

```
ZrVS2
1.0
3.387 0.915 2.685
-0.277 -0.947 4.307
2.420 -3.283 1.700
Zr V S
1 1 2
Cartesian
2.766 -1.658 4.346
0.000 0.000 0.000
4.148 -2.487 6.519
1.383 -0.829 2.173
```

## Properties
Crystal system: cubic
Offset from the most stable computed form in kJ/mol of formula units: 77


First-principles (GGA-PBE) data for an optimized crystal structure of YBe2Os2, as listed in Alexandria.

```
YBe2Os2
1.0
-0.660 4.023 -0.654
-3.243 -0.116 2.554
0.733 2.955 4.403
Y Os Be
1 2 2
Cartesian
0.000 0.000 0.000
-1.235 2.221 1.871
-1.935 4.641 4.431
-2.230 2.396 3.953
-0.939 4.466 2.349
```

## Properties
Formation enthalpy at 0 K in eV/atom: -0.08
Crystal system: tetragonal
Offset from the most stable computed form in kJ/mol of formula units: 0


First-principles (GGA-PBE) data for an optimized crystal structure of TiAlGa2, as listed in Alexandria.

```
TiAlGa2
1.0
-3.397 1.473 -1.360
0.964 -1.184 -3.689
-1.786 -3.509 0.659
Ti Ga Al
1 2 1
Cartesian
-1.698 0.737 -0.680
-0.893 -1.755 0.330
0.482 -0.592 -1.844
-2.109 -1.610 -2.195
```

## Properties
Formation enthalpy at 0 K in eV/atom: -0.34
Crystal system: tetragonal


| no. | E_tot (eV/atom) |
| --- | --- |
| 1 | -6.38 |
| 2 | -7.31 |
| 3 | -7.36 |
| 4 | -4.76 |